No. 1
{
  "formula": "RbSrC3",
  "functional": "GGA-PBE",
  "state": "optimized geometry",
  "e_tot_ev_per_cell": -13.62,
  "n_ef_per_ev_cell": 5.42,
  "delta_e_f_mev_per_atom": 3341,
  "de_polymorph_mev_per_atom": 512,
  "rho_g_cm3": 2.9,
  "lattice": [[-0.874, 4.836, -0.649], [-1.715, 0.313, 4.640], [4.568, 1.043, 1.618]],
  "species": ["Sr", "C", "C", "C", "Rb"],
  "frac_coords": [[0.500, 0.500, 0.500], [0.000, 0.500, 0.000], [0.000, 0.000, 0.500], [0.500, 0.000, 0.000], [0.000, 0.000, 0.000]]
}



No. 2
{
  "formula": "RbSr2C",
  "functional": "GGA-PBE",
  "state": "optimized geometry",
  "e_tot_ev_per_cell": -22.13,
  "n_ef_per_ev_cell": 4.17,
  "delta_e_f_mev_per_atom": 622,
  "de_polymorph_mev_per_atom": 0,
  "rho_g_cm3": 2.2,
  "lattice": [[8.396, 0.000, 0.000], [0.000, 8.396, 0.000], [4.198, 4.198, 5.728]],
  "species": ["Sr", "Sr", "Sr", "Sr", "C", "C", "Rb", "Rb"],
  "frac_coords": [[0.420, 0.125, 0.250], [0.330, 0.625, 0.250], [0.375, 0.580, 0.750], [0.875, 0.670, 0.750], [0.500, 0.500, 0.000], [0.250, 0.750, 0.500], [0.000, 0.000, 0.000], [0.750, 0.250, 0.500]]
}



No. 3
{
  "formula": "RbSr2C",
  "functional": "GGA-PBE",
  "state": "optimized geometry",
  "e_tot_ev_per_cell": -8.19,
  "n_ef_per_ev_cell": 4.09,
  "delta_e_f_mev_per_atom": 1342,
  "de_polymorph_mev_per_atom": 720,
  "rho_g_cm3": 3.9,
  "lattice": [[0.000, 3.884, 3.884], [3.884, 0.000, 3.884], [3.884, 3.884, 0.000]],
  "species": ["Sr", "Sr", "C", "Rb"],
  "frac_coords": [[0.250, 0.250, 0.250], [0.750, 0.750, 0.750], [0.000, 0.000, 0.000], [0.500, 0.500, 0.500]]
}



No. 4
{
  "formula": "Rb2SrC",
  "functional": "GGA-PBE",
  "state": "optimized geometry",
  "e_tot_ev_per_cell": -6.39,
  "n_ef_per_ev_cell": 0.83,
  "delta_e_f_mev_per_atom": 1612,
  "de_polymorph_mev_per_atom": 662,
  "rho_g_cm3": 3.3,
  "lattice": [[0.000, 4.098, 4.098], [4.098, 0.000, 4.098], [4.098, 4.098, 0.000]],
  "species": ["Sr", "C", "Rb", "Rb"],
  "frac_coords": [[0.500, 0.500, 0.500], [0.000, 0.000, 0.000], [0.250, 0.250, 0.250], [0.750, 0.750, 0.750]]
}



No. 5
{
  "formula": "RbSrC2",
  "functional": "GGA-PBE",
  "state": "optimized geometry",
  "e_tot_ev_per_cell": -25.53,
  "n_ef_per_ev_cell": 4.57,
  "delta_e_f_mev_per_atom": 2083,
  "de_polymorph_mev_per_atom": 40,
  "rho_g_cm3": 3.1,
  "lattice": [[4.877, 0.000, 0.000], [0.000, 4.877, 0.000], [2.439, 2.439, 8.899]],
  "species": ["Sr", "Sr", "C", "C", "C", "C", "Rb", "Rb"],
  "frac_coords": [[0.000, 0.000, 0.000], [0.750, 0.250, 0.500], [0.875, 0.125, 0.250], [0.875, 0.625, 0.250], [0.375, 0.125, 0.750], [0.875, 0.125, 0.750], [0.500, 0.500, 0.000], [0.250, 0.750, 0.500]]
}



No. 6
{
  "formula": "RbSrTc2C",
  "functional": "GGA-PBE",
  "state": "optimized geometry",
  "e_tot_ev_per_cell": -28.16,
  "n_ef_per_ev_cell": 4.63,
  "delta_e_f_mev_per_atom": 888,
  "rho_g_cm3": 6.5,
  "lattice": [[-3.079, -1.404, -2.441], [-1.367, -3.805, 3.913], [-2.626, 2.734, 1.741]],
  "species": ["Sr", "C", "Tc", "Tc", "Rb"],
  "frac_coords": [[0.500, 0.500, 0.500], [0.000, 0.000, 0.000], [0.000, 0.000, 0.500], [0.500, 0.000, 0.000], [0.000, 0.500, 0.000]]
}



No. 7
{
  "formula": "Rb3TaC",
  "functional": "GGA-PBE",
  "state": "optimized geometry",
  "e_tot_ev_per_cell": -13.02,
  "n_ef_per_ev_cell": 9.40,
  "delta_e_f_mev_per_atom": 2192,
  "de_polymorph_mev_per_atom": 0,
  "rho_g_cm3": 3.5,
  "lattice": [[5.971, 0.000, 0.000], [0.000, 5.971, 0.000], [0.000, 0.000, 5.971]],
  "species": ["C", "Rb", "Rb", "Rb", "Ta"],
  "frac_coords": [[0.000, 0.000, 0.000], [0.000, 0.500, 0.000], [0.000, 0.000, 0.500], [0.500, 0.000, 0.000], [0.500, 0.500, 0.500]]
}



No. 8
{
  "formula": "Rb2TaC",
  "functional": "GGA-PBE",
  "state": "optimized geometry",
  "e_tot_ev_per_cell": -11.86,
  "n_ef_per_ev_cell": 5.02,
  "delta_e_f_mev_per_atom": 2789,
  "de_polymorph_mev_per_atom": 1646,
  "rho_g_cm3": 4.7,
  "lattice": [[3.294, -3.319, -3.214], [-1.456, -5.407, -0.918], [-1.769, -1.628, -5.140]],
  "species": ["C", "Rb", "Rb", "Ta"],
  "frac_coords": [[0.000, 0.000, 0.000], [0.250, 0.250, 0.250], [0.750, 0.750, 0.750], [0.500, 0.500, 0.500]]
}



No. 9
{
  "formula": "Rb2TaC",
  "functional": "GGA-PBE",
  "state": "optimized geometry",
  "e_tot_ev_per_cell": -36.88,
  "n_ef_per_ev_cell": 7.32,
  "delta_e_f_mev_per_atom": 1143,
  "de_polymorph_mev_per_atom": 0,
  "rho_g_cm3": 3.4,
  "lattice": [[13.130, 0.000, 0.000], [0.000, 13.130, 0.000], [6.565, 6.565, 2.057]],
  "species": ["C", "C", "Rb", "Rb", "Rb", "Rb", "Ta", "Ta"],
  "frac_coords": [[0.500, 0.500, 0.000], [0.250, 0.750, 0.500], [0.410, 0.125, 0.250], [0.340, 0.625, 0.250], [0.375, 0.590, 0.750], [0.875, 0.660, 0.750], [0.000, 0.000, 0.000], [0.750, 0.250, 0.500]]
}



No. 10
{
  "formula": "RbTaC2",
  "functional": "GGA-PBE",
  "state": "optimized geometry",
  "e_tot_ev_per_cell": -56.52,
  "n_ef_per_ev_cell": 5.88,
  "delta_e_f_mev_per_atom": 752,
  "de_polymorph_mev_per_atom": 0,
  "rho_g_cm3": 4.9,
  "lattice": [[-5.868, -0.737, -2.605], [1.227, -6.267, -0.991], [-4.066, -4.511, 2.419]],
  "species": ["C", "C", "C", "C", "Rb", "Rb", "Ta", "Ta"],
  "frac_coords": [[0.820, 0.125, 0.250], [0.930, 0.625, 0.250], [0.375, 0.180, 0.750], [0.875, 0.070, 0.750], [0.500, 0.500, 0.000], [0.250, 0.750, 0.500], [0.000, 0.000, 0.000], [0.750, 0.250, 0.500]]
}



No. 11
{
  "formula": "RbTaC3",
  "functional": "GGA-PBE",
  "state": "optimized geometry",
  "e_tot_ev_per_cell": -19.53,
  "n_ef_per_ev_cell": 2.91,
  "delta_e_f_mev_per_atom": 4192,
  "de_polymorph_mev_per_atom": 2665,
  "rho_g_cm3": 7.2,
  "lattice": [[4.110, 0.000, 0.000], [0.000, 4.110, 0.000], [0.000, 0.000, 4.110]],
  "species": ["C", "C", "C", "Rb", "Ta"],
  "frac_coords": [[0.000, 0.500, 0.000], [0.000, 0.000, 0.500], [0.500, 0.000, 0.000], [0.000, 0.000, 0.000], [0.500, 0.500, 0.500]]
}



No. 12
{
  "formula": "RbTaC3",
  "functional": "GGA-PBE",
  "state": "optimized geometry",
  "e_tot_ev_per_cell": -32.86,
  "n_ef_per_ev_cell": 1.73,
  "delta_e_f_mev_per_atom": 1527,
  "de_polymorph_mev_per_atom": 0,
  "rho_g_cm3": 6.1,
  "lattice": [[4.340, 0.000, 0.000], [0.000, 4.340, 0.000], [0.000, 0.000, 4.340]],
  "species": ["C", "C", "C", "Rb", "Ta"],
  "frac_coords": [[0.000, 0.500, 0.000], [0.000, 0.000, 0.500], [0.500, 0.000, 0.000], [0.500, 0.500, 0.500], [0.000, 0.000, 0.000]]
}